No. 1
Entry from Alexandria: Ac6Pd23 after structural relaxation (PBE).

abc: 9.375 9.375 9.375
angles: 60.00 60.00 60.00
Element x y z (fractional)
Ac (0.224, 0.776, 0.776)
Ac (0.776, 0.224, 0.224)
Ac (0.224, 0.224, 0.776)
Ac (0.776, 0.776, 0.224)
Ac (0.224, 0.776, 0.224)
Ac (0.776, 0.224, 0.776)
Pd (0.500, 0.500, 0.500)
Pd (0.500, 0.000, 0.000)
Pd (0.000, 0.500, 0.500)
Pd (0.500, 0.500, 0.000)
Pd (0.000, 0.000, 0.500)
Pd (0.500, 0.000, 0.500)
Pd (0.000, 0.500, 0.000)
Pd (0.137, 0.621, 0.621)
Pd (0.621, 0.621, 0.137)
Pd (0.621, 0.137, 0.621)
Pd (0.621, 0.621, 0.621)
Pd (0.379, 0.379, 0.863)
Pd (0.863, 0.379, 0.379)
Pd (0.379, 0.863, 0.379)
Pd (0.379, 0.379, 0.379)
Pd (0.517, 0.828, 0.828)
Pd (0.828, 0.828, 0.517)
Pd (0.828, 0.517, 0.828)
Pd (0.828, 0.828, 0.828)
Pd (0.172, 0.172, 0.483)
Pd (0.483, 0.172, 0.172)
Pd (0.172, 0.483, 0.172)
Pd (0.172, 0.172, 0.172)

Results
total energy	-5.57	eV/atom
symmetry	Fm-3m, No. 225
M_tot	0.50	Bohr magnetons per cell
calculated density	10.86	Mg/m³
DFT formation energy	-0.6017	eV per atom

No. 2
Entry from Alexandria: TbSc2Ti after structural relaxation (PBE).

abc: 3.261 3.261 10.622
angles: 81.17 81.17 60.00
Element x y z (fractional)
Tb (0.501, 0.501, 0.498)
Sc (0.075, 0.075, 0.775)
Sc (0.258, 0.258, 0.226)
Ti (0.666, 0.666, 0.002)

Results
total energy	-6.15	eV/atom
symmetry	R3m, No. 160
M_tot	0.00	Bohr magnetons per cell
excess energy over the best structure of this formula in the dataset	0.01	eV per formula unit
calculated density	5.12	Mg/m³
DFT formation energy	0.1424	eV per atom

No. 3
Entry from Alexandria: HfScBe2Al after structural relaxation (PBE).

abc: 4.346 4.994 4.346
angles: 90.00 90.00 90.00
Each line ends with the local moment (μB).
Element x y z (fractional)
Sc (0.500, 0.500, 0.500)  0.17
Be (0.000, 0.000, 0.500)  -0.01
Be (0.500, 0.000, 0.000)  0.00
Hf (0.000, 0.500, 0.000)  0.16
Al (0.000, 0.000, 0.000)  0.00

Results
total energy	-4.78	eV/atom
symmetry	P4/mmm, No. 123
M_tot	0.44	Bohr magnetons per cell
calculated density	4.73	Mg/m³
DFT formation energy	0.7185	eV per atom

No. 4
Entry from Alexandria: LaRuF3 after structural relaxation (PBE).

abc: 4.714 4.714 4.714
angles: 90.00 90.00 90.00
Each line ends with the local moment (μB).
Element x y z (fractional)
Ru (0.500, 0.500, 0.500)  2.44
F (0.000, 0.500, 0.000)  0.03
F (0.000, 0.000, 0.500)  0.02
F (0.500, 0.000, 0.000)  0.02
La (0.000, 0.000, 0.000)  -0.01

Results
total energy	-5.90	eV/atom
formation energy without anion corrections	-1932	meV/atom
symmetry	Pm-3m, No. 221
M_tot	3.01	Bohr magnetons per cell
calculated density	4.71	Mg/m³

No. 5
Entry from Alexandria: Pr2SmPaAs5 after structural relaxation (PBE).

abc: 5.095 5.095 11.042
angles: 90.00 90.00 90.00
Element x y z (fractional)
Pr (0.500, 0.500, 0.274)
Pr (0.500, 0.500, 0.726)
Sm (0.000, 0.000, 0.000)
Pa (0.000, 0.000, 0.500)
As (0.000, 0.500, 0.500)
As (0.500, 0.000, 0.500)
As (0.000, 0.000, 0.751)
As (0.000, 0.000, 0.249)
As (0.500, 0.500, 0.000)

Results
total energy	-5.88	eV/atom
symmetry	P4/mmm, No. 123
M_tot	0.00	Bohr magnetons per cell
calculated density	6.01	Mg/m³
DFT formation energy	-0.6551	eV per atom

No. 6
Entry from Alexandria: LiYCo2 after structural relaxation (PBE).

abc: 4.109 4.109 8.773
angles: 76.46 76.46 90.00
Each line ends with the local moment (μB).
Element x y z (fractional)
Y (0.000, 0.000, 0.000)  -0.17
Y (0.750, 0.250, 0.500)  -0.17
Co (0.479, 0.125, 0.250)  0.91
Co (0.271, 0.625, 0.250)  0.91
Co (0.375, 0.521, 0.750)  0.99
Co (0.875, 0.729, 0.750)  1.00
Li (0.500, 0.500, 0.000)  -0.05
Li (0.250, 0.750, 0.500)  -0.05

Results
total energy	-5.26	eV/atom
symmetry	I-42d, No. 122
M_tot	2.94	Bohr magnetons per cell
excess energy over the best structure of this formula in the dataset	1.52	eV per formula unit
calculated density	5.08	Mg/m³
DFT formation energy	0.3880	eV per atom

No. 7
Entry from Alexandria: NpAl4Ge after structural relaxation (PBE).

abc: 5.445 5.445 5.445
angles: 60.00 60.00 60.00
Each line ends with the local moment (μB).
Element x y z (fractional)
Np (0.250, 0.250, 0.250)  4.04
Ge (0.000, 0.000, 0.000)  0.05
Al (0.625, 0.625, 0.125)  0.01
Al (0.625, 0.125, 0.625)  0.01
Al (0.625, 0.625, 0.625)  0.01
Al (0.125, 0.625, 0.625)  0.01

Results
total energy	-5.31	eV/atom
symmetry	F-43m, No. 216
M_tot	4.98	Bohr magnetons per cell
calculated density	6.07	Mg/m³
DFT formation energy	0.1106	eV per atom

No. 8
Entry from Alexandria: B4Rh after structural relaxation (PBE).

abc: 4.041 4.041 4.041
angles: 90.00 90.00 90.00
Element x y z (fractional)
B (0.000, 0.000, 0.000)
B (0.500, 0.000, 0.500)
B (0.000, 0.500, 0.500)
B (0.500, 0.500, 0.000)
Rh (0.500, 0.500, 0.500)

Results
total energy	-4.98	eV/atom
symmetry	Pm-3m, No. 221
M_tot	0.00	Bohr magnetons per cell
calculated density	3.68	Mg/m³
DFT formation energy	1.8357	eV per atom